Below is a geometry-optimized PmPr4Ho5 structure, with properties calculated at the PBE-GGA level.

Calculated values
* offset from the most stable computed form: 1.75 eV/f.u.
* energy of formation: 0.19 eV per atom

Structure (CIF):
```
data_PmPr4Ho5
_cell_length_a 3.549
_cell_length_b 8.807
_cell_length_c 11.388
_cell_angle_alpha 89.82
_cell_angle_beta 89.98
_cell_angle_gamma 78.38
_space_group_name_H-M_alt 'P -1'
_space_group_IT_number 2
loop_
_space_group_symop_operation_xyz
'x,y,z'
'-x,-y,-z'
loop_
_atom_site_label
_atom_site_fract_x
_atom_site_fract_y
_atom_site_fract_z
Pm1 0.000 0.000 0.000
Pr1 0.163 0.683 0.250
Pr2 0.469 0.066 0.252
Ho1 0.000 0.000 0.500
Ho2 0.324 0.348 0.050
Ho3 0.326 0.345 0.454
```